Here is BaOs2Br after structural relaxation from Alexandria. Energies are from PBEsol.

Summary:
**Uncorrected formation energy**: 410 meV/atom
**Distance to the lowest polymorph of the same formula**: 0.000 eV/f.u.
**SG**: Cmm2

```
BaOs2Br
1.0
4.693 0.000 0.000
0.000 4.811 0.000
0.000 0.000 8.212
Ba Os Br
2 4 2
Direct
0.000 0.000 0.000
0.500 0.500 0.000
0.000 0.000 0.413
0.000 0.500 0.306
0.500 0.000 0.306
0.500 0.500 0.413
0.000 0.500 0.743
0.500 0.000 0.743
```